No. 1
# CeGe4Pt12 (PBE, relaxed)
data_CeGe4Pt12
_space_group_name_H-M_alt 'I m -3'
_space_group_IT_number 204
_space_group_name_Hall '-I 2 2 3'
_cell_length_a 8.589
_cell_length_b 8.589
_cell_length_c 8.589
_cell_angle_alpha 90.00
_cell_angle_beta 90.00
_cell_angle_gamma 90.00
loop_
_atom_site_label
_atom_site_type_symbol
_atom_site_fract_x
_atom_site_fract_y
_atom_site_fract_z
Ce1 Ce 0.000 0.000 0.000
Ge1 Ge 0.250 0.250 0.250
Pt1 Pt 0.000 0.156 0.345
# Energy relative to the elements, eV per atom: -0.216

No. 2
# Ce2GePt (PBE, relaxed)
data_Ce2GePt
_space_group_name_H-M_alt 'R -3 m'
_space_group_IT_number 166
_space_group_name_Hall '-R 3 2"'
_cell_length_a 4.0966
_cell_length_b 4.0966
_cell_length_c 21.4462
_cell_angle_alpha 90.00
_cell_angle_beta 90.00
_cell_angle_gamma 120.00
loop_
_atom_site_label
_atom_site_type_symbol
_atom_site_fract_x
_atom_site_fract_y
_atom_site_fract_z
Ce1 Ce 0.0000 0.0000 0.2476
Ge1 Ge 0.0000 0.0000 0.0000
Pt1 Pt 0.0000 0.0000 0.5000
# Energy relative to the elements, eV per atom: -0.780

No. 3
# CeGe3Pt3 (PBE, relaxed)
data_CeGe3Pt3
_space_group_name_H-M_alt 'P m -3 n'
_space_group_IT_number 223
_space_group_name_Hall '-P 4n 2 3'
_cell_length_a 6.834
_cell_length_b 6.834
_cell_length_c 6.834
_cell_angle_alpha 90.00
_cell_angle_beta 90.00
_cell_angle_gamma 90.00
loop_
_atom_site_label
_atom_site_type_symbol
_atom_site_fract_x
_atom_site_fract_y
_atom_site_fract_z
Ce1 Ce 0.000 0.000 0.000
Ge1 Ge 0.000 0.250 0.500
Pt1 Pt 0.000 0.500 0.250
# Energy relative to the elements, eV per atom: -0.441
# Energy above the most stable polymorph in this dataset, eV/f.u.: 0.99

No. 4
# Ce2GePt (PBE, relaxed)
data_Ce2GePt
_space_group_name_H-M_alt 'P 1 21/m 1'
_space_group_IT_number 11
_cell_length_a 5.952
_cell_length_b 4.226
_cell_length_c 8.269
_cell_angle_alpha 90.00
_cell_angle_beta 110.52
_cell_angle_gamma 90.00
loop_
_space_group_symop_operation_xyz
'x,y,z'
'-x,-y,-z'
'-x,y+1/2,-z'
'x,-y+1/2,z'
loop_
_atom_site_label
_atom_site_type_symbol
_atom_site_fract_x
_atom_site_fract_y
_atom_site_fract_z
Ce1 Ce 0.194 0.250 0.414
Ce2 Ce 0.282 0.750 0.061
Ge1 Ge 0.370 0.750 0.704
Pt1 Pt 0.131 0.250 0.794
# Energy relative to the elements, eV per atom: -0.906

No. 5
# Ce4Ge8Pt (PBE, relaxed)
data_Ce4Ge8Pt
_space_group_name_H-M_alt 'P m m 2'
_space_group_IT_number 25
_cell_length_a 4.090
_cell_length_b 4.208
_cell_length_c 16.596
_cell_angle_alpha 90.00
_cell_angle_beta 90.00
_cell_angle_gamma 90.00
loop_
_space_group_symop_operation_xyz
'x,y,z'
'-x,-y,z'
'-x,y,z'
'x,-y,z'
loop_
_atom_site_label
_atom_site_type_symbol
_atom_site_fract_x
_atom_site_fract_y
_atom_site_fract_z
Ce1 Ce 0.000 0.000 0.000
Ce2 Ce 0.000 0.500 0.487
Ce3 Ce 0.500 0.000 0.788
Ce4 Ce 0.500 0.500 0.279
Ge1 Ge 0.000 0.000 0.330
Ge2 Ge 0.000 0.000 0.621
Ge3 Ge 0.000 0.500 0.139
Ge4 Ge 0.000 0.500 0.856
Ge5 Ge 0.500 0.000 0.141
Ge6 Ge 0.500 0.000 0.429
Ge7 Ge 0.500 0.500 0.619
Ge8 Ge 0.500 0.500 0.951
Pt1 Pt 0.000 0.500 0.707
# Energy relative to the elements, eV per atom: -0.654

No. 6
# Ce2GePt6 (PBE, relaxed)
data_Ce2GePt6
_space_group_name_H-M_alt 'C 1 2/m 1'
_space_group_IT_number 12
_cell_length_a 9.767
_cell_length_b 5.692
_cell_length_c 6.283
_cell_angle_alpha 90.00
_cell_angle_beta 103.47
_cell_angle_gamma 90.00
loop_
_space_group_symop_operation_xyz
'x,y,z'
'-x,-y,-z'
'-x,y,-z'
'x,-y,z'
'x+1/2,y+1/2,z'
'-x+1/2,-y+1/2,-z'
'-x+1/2,y+1/2,-z'
'x+1/2,-y+1/2,z'
loop_
_atom_site_label
_atom_site_type_symbol
_atom_site_fract_x
_atom_site_fract_y
_atom_site_fract_z
Ce1 Ce 0.142 0.000 0.347
Ge1 Ge 0.000 0.500 0.500
Pt1 Pt 0.126 0.500 0.198
Pt2 Pt 0.133 0.244 0.814
# Energy relative to the elements, eV per atom: -0.910
# Energy above the most stable polymorph in this dataset, eV/f.u.: 0.17

No. 7
# CePu2Ge2Pt2 (PBE, relaxed)
data_CePu2Ge2Pt2
_space_group_name_H-M_alt 'R -3 m'
_space_group_IT_number 166
_space_group_name_Hall '-R 3 2"'
_cell_length_a 4.4557
_cell_length_b 4.4557
_cell_length_c 25.6648
_cell_angle_alpha 90.00
_cell_angle_beta 90.00
_cell_angle_gamma 120.00
loop_
_atom_site_label
_atom_site_type_symbol
_atom_site_fract_x
_atom_site_fract_y
_atom_site_fract_z
Ce1 Ce 0.0000 0.0000 0.0000
Pu1 Pu 0.0000 0.0000 0.1391
Ge1 Ge 0.0000 0.0000 0.2640
Pt1 Pt 0.0000 0.0000 0.4186
# Energy relative to the elements, eV per atom: -0.762

No. 8
# Ce2Pu2Ge4Pt (PBE, relaxed)
data_Ce2Pu2Ge4Pt
_space_group_name_H-M_alt 'I 4/m m m'
_space_group_IT_number 139
_space_group_name_Hall '-I 4 2'
_cell_length_a 7.077
_cell_length_b 7.077
_cell_length_c 8.521
_cell_angle_alpha 90.00
_cell_angle_beta 90.00
_cell_angle_gamma 90.00
loop_
_atom_site_label
_atom_site_type_symbol
_atom_site_fract_x
_atom_site_fract_y
_atom_site_fract_z
Ce1 Ce 0.000 0.500 0.250
Pu1 Pu 0.000 0.000 0.172
Ge1 Ge 0.247 0.247 0.500
Pt1 Pt 0.000 0.000 0.500
# Energy relative to the elements, eV per atom: -0.446

No. 9
# Ce2PuGe3Pt4 (PBE, relaxed)
data_Ce2PuGe3Pt4
_space_group_name_H-M_alt 'P -4 m 2'
_space_group_IT_number 115
_cell_length_a 4.320
_cell_length_b 4.320
_cell_length_c 11.112
_cell_angle_alpha 90.00
_cell_angle_beta 90.00
_cell_angle_gamma 90.00
loop_
_space_group_symop_operation_xyz
'x,y,z'
'y,-x,-z'
'-x,-y,z'
'-y,x,-z'
'-x,y,z'
'-y,-x,-z'
'x,-y,z'
'y,x,-z'
loop_
_atom_site_label
_atom_site_type_symbol
_atom_site_fract_x
_atom_site_fract_y
_atom_site_fract_z
Ce1 Ce 0.000 0.500 0.231
Pu1 Pu 0.000 0.000 0.500
Ge1 Ge 0.000 0.500 0.880
Ge2 Ge 0.500 0.500 0.500
Pt1 Pt 0.000 0.000 0.000
Pt2 Pt 0.000 0.500 0.660
Pt3 Pt 0.500 0.500 0.000
# Energy relative to the elements, eV per atom: -0.830

No. 10
# Ce2PuGe2Pt2 (PBE, relaxed)
data_Ce2PuGe2Pt2
_space_group_name_H-M_alt 'R -3 m'
_space_group_IT_number 166
_space_group_name_Hall '-R 3 2"'
_cell_length_a 4.8918
_cell_length_b 4.8918
_cell_length_c 24.7523
_cell_angle_alpha 90.00
_cell_angle_beta 90.00
_cell_angle_gamma 120.00
loop_
_atom_site_label
_atom_site_type_symbol
_atom_site_fract_x
_atom_site_fract_y
_atom_site_fract_z
Ce1 Ce 0.0000 0.0000 0.2437
Pu1 Pu 0.0000 0.0000 0.0000
Ge1 Ge 0.0000 0.0000 0.1271
Pt1 Pt 0.0000 0.0000 0.3662
# Energy relative to the elements, eV per atom: -0.552

No. 11
# CePuGePt (PBE, relaxed)
data_CePuGePt
_space_group_name_H-M_alt 'F -4 3 m'
_space_group_IT_number 216
_space_group_name_Hall 'F -4 2 3'
_cell_length_a 7.155
_cell_length_b 7.155
_cell_length_c 7.155
_cell_angle_alpha 90.00
_cell_angle_beta 90.00
_cell_angle_gamma 90.00
loop_
_atom_site_label
_atom_site_type_symbol
_atom_site_fract_x
_atom_site_fract_y
_atom_site_fract_z
Ce1 Ce 0.000 0.000 0.000
Pu1 Pu 0.000 0.000 0.500
Ge1 Ge 0.250 0.250 0.250
Pt1 Pt 0.250 0.250 0.750
# Energy relative to the elements, eV per atom: -0.645
# Energy above the most stable polymorph in this dataset, eV/f.u.: 0.00

No. 12
# CePu4Ge2Pt (PBE, relaxed)
data_CePu4Ge2Pt
_space_group_name_H-M_alt 'R -3 m'
_space_group_IT_number 166
_space_group_name_Hall '-R 3 2"'
_cell_length_a 5.0942
_cell_length_b 5.0942
_cell_length_c 25.4610
_cell_angle_alpha 90.00
_cell_angle_beta 90.00
_cell_angle_gamma 120.00
loop_
_atom_site_label
_atom_site_type_symbol
_atom_site_fract_x
_atom_site_fract_y
_atom_site_fract_z
Ce1 Ce 0.0000 0.0000 0.0000
Pu1 Pu 0.0000 0.0000 0.1346
Pu2 Pu 0.0000 0.0000 0.3911
Ge1 Ge 0.0000 0.0000 0.2693
Pt1 Pt 0.0000 0.0000 0.5000
# Energy relative to the elements, eV per atom: -0.449

| no. | N(E_F) (states/eV per atom) | magnetization (μB/atom) |
| --- | --- | --- |
| 1 | 0.53 | 0.042 |
| 2 | 2.18 | 0.250 |
| 3 | 1.66 | 0.207 |
| 4 | 2.09 | 0.430 |
| 5 | 1.16 | 0.098 |
| 6 | 1.35 | 0.119 |
| 7 | 1.92 | 1.555 |
| 8 | 2.49 | 1.433 |
| 9 | 2.13 | 0.699 |
| 10 | 2.12 | 0.732 |
| 11 | 3.00 | 1.494 |
| 12 | 3.08 | 3.072 |